{"formula": "Zn3CrO", "functional": "PBE with a Hubbard U", "state": "optimized geometry", "e_tot_ev_per_atom": -2.820, "e_above_lowest_polymorph_ev_per_fu": 0.00, "dos_at_fermi_per_ev_atom": 0.32, "lattice_angstrom": [[-2.695, -1.219, 2.990], [-0.271, -3.795, -1.792], [3.218, -1.341, 2.353]], "species": ["Cr", "Zn", "Zn", "Zn", "O"], "fractional_positions": [[0.500, 0.500, 0.500], [0.000, 0.500, 0.000], [0.000, 0.000, 0.500], [0.500, 0.000, 0.000], [0.000, 0.000, 0.000]]}